Entry 1:
A crystal of Ta2Tl relaxed with PBEsol, computed with meta-GGA SCAN.

Properties
Calculated total energy, eV per atom: -67.978

abc: 2.8693 4.8091 4.8091
angles: 120.00 90.00 90.00
Fractional coordinates of all 3 atoms:
Ta  0.0000  0.3333  0.6667
Ta  0.0000  0.6667  0.3333
Tl  0.5000  0.0000  0.0000

***

Entry 2:
A crystal of CoBP2HPbO9 relaxed with PBEsol, computed with meta-GGA SCAN.

Properties
Calculated total energy, eV per atom: -14.139

abc: 5.1869 7.8720 8.3587
angles: 89.76 79.56 87.62
Site moments in Bohr magnetons follow the coordinates.
Fractional coordinates of all 30 atoms:
Co  0.2659  0.2009  0.8057  0.90
Co  0.7341  0.7991  0.1943  0.90
B  0.1302  0.2544  0.4572  0.00
B  0.8698  0.7456  0.5428  0.00
P  0.2301  0.0629  0.1813  0.01
P  0.7699  0.9371  0.8187  0.01
P  0.1945  0.5691  0.2942  0.00
P  0.8055  0.4309  0.7058  0.00
H  0.4908  0.1788  0.5102  0.00
H  0.5092  0.8212  0.4898  0.00
Pb  0.7314  0.3040  0.0802  0.00
Pb  0.2686  0.6960  0.9198  0.00
O  0.5206  0.0274  0.1937  0.02
O  0.4794  0.9726  0.8063  0.02
O  0.4437  0.6273  0.1833  0.01
O  0.5563  0.3727  0.8167  0.01
O  0.3066  0.1895  0.5642  -0.02
O  0.6934  0.8105  0.4358  -0.02
O  0.2709  0.3907  0.3574  0.00
O  0.7291  0.6093  0.6426  0.00
O  0.2168  0.2117  0.0591  -0.02
O  0.7832  0.7883  0.9409  -0.02
O  0.1229  0.6882  0.4462  0.00
O  0.8771  0.3118  0.5538  0.00
O  0.0976  0.9048  0.1359  0.02
O  0.9024  0.0952  0.8641  0.02
O  0.0645  0.1243  0.3486  0.00
O  0.9355  0.8757  0.6514  0.00
O  0.0315  0.4347  0.8016  0.02
O  0.9685  0.5653  0.1984  0.02

***

Entry 3:
A crystal of CrIr2Rh relaxed with PBEsol, computed with meta-GGA SCAN.

Properties
Calculated total energy, eV per atom: -48.841

abc: 3.7550 3.7550 4.6112
angles: 114.03 114.03 90.00
Site moments in Bohr magnetons follow the coordinates.
Fractional coordinates of all 4 atoms:
Cr  0.2500  0.7500  0.5000  2.10
Ir  0.5000  0.5000  0.0000  -0.23
Ir  0.7500  0.2500  0.5000  -0.04
Rh  0.0000  0.0000  0.0000  -0.21

***

Entry 4:
A crystal of TaTePb2 relaxed with PBEsol, computed with meta-GGA SCAN.

Properties
Calculated total energy, eV per atom: -63.186

abc: 5.5653 5.5653 5.0405
angles: 123.51 123.51 90.00
Site moments in Bohr magnetons follow the coordinates.
Fractional coordinates of all 4 atoms:
Pb  0.0000  0.0000  0.0000  -0.03
Pb  0.7500  0.2500  0.5000  -0.01
Ta  0.5000  0.5000  0.0000  0.90
Te  0.2500  0.7500  0.5000  -0.04

***

Question: Which value of calculated total energy does entry 4 give?
Answer: -63.186 eV per atom